Entry from Alexandria: Zn2CrSe after structural relaxation (GGA-PBEsol).

Summary:
VASP energy in eV/atom: -3.98
Total magnetic moment in μB/atom: 0.000
E_form (uncorrected) in meV/atom: 331

CIF file:
```
data_Zn2CrSe
_cell_length_a 2.6332
_cell_length_b 2.6332
_cell_length_c 9.0243
_cell_angle_alpha 90.00
_cell_angle_beta 90.00
_cell_angle_gamma 90.00
_symmetry_space_group_name_H-M 'P 4/m m m'
_symmetry_Int_Tables_number 123
_symmetry_space_group_name_Hall '-P 4 2'
loop_
_atom_site_label
_atom_site_type_symbol
_atom_site_fract_x
_atom_site_fract_y
_atom_site_fract_z
_atom_site_occupancy
Zn1 Zn 0.0000 0.0000 0.1993 1
Cr1 Cr 0.5000 0.5000 0.0000 1
Se1 Se 0.5000 0.5000 0.5000 1
```